Sc4TeSe | PBE | optimized geometry

For the total energy, the calculation gives -6.188 eV/atom. The uncorrected formation energy is -0.86 eV/atom.

The space group is P2_1/m (No. 11) and the conventional cell measures 6.295, 5.804 and 7.636 Å, with angles of 90.00, 107.74 and 90.00 degrees. The distinct sites, in fractional coordinates, are Sc at (0.002, 0.000, 0.296), Sc at (0.370, 0.250, 0.086), Sc at (0.407, 0.250, 0.610), Te at (0.217, 0.750, 0.051) and Se at (0.306, 0.750, 0.584).

---

Ho4ScHg2 | PBE | optimized geometry

For the total energy, the calculation gives -3.620 eV/atom. The value obtained for the formation energy is -0.09 eV per formula unit.

The space group is R-3m (No. 166, hexagonal axes) and the conventional cell measures 5.3487, 5.3487 and 25.2966 Å, with angles of 90.00, 90.00 and 120.00 degrees. The distinct sites, in fractional coordinates, are Ho at (0.0000, 0.0000, 0.1309), Ho at (0.0000, 0.0000, 0.2690), Sc at (0.0000, 0.0000, 0.5000) and Hg at (0.0000, 0.0000, 0.3884).

---

CsK2Sn2Cl7 | PBE | optimized geometry

For the total energy, the calculation gives -3.498 eV/atom. The uncorrected formation energy is -1.50 eV/atom.

The space group is Imm2 (No. 44) and the conventional cell measures 5.711, 24.653 and 6.215 Å, with angles of 90.00, 90.00 and 90.00 degrees. The distinct sites, in fractional coordinates, are Cs at (0.000, 0.000, 0.000), K at (0.000, 0.271, 0.520), Sn at (0.000, 0.389, 0.038), Cl at (0.000, 0.114, 0.553), Cl at (0.000, 0.271, 0.016), Cl at (0.000, 0.398, 0.624) and Cl at (0.000, 0.500, 0.103).

---

Mg3Si4 | PBE | optimized geometry

For the total energy, the calculation gives -3.667 eV/atom. The uncorrected formation energy is 0.12 eV/atom.

The space group is P-1 (No. 2) and the conventional cell measures 5.406, 7.036 and 7.921 Å, with angles of 99.33, 107.37 and 108.63 degrees. The distinct sites, in fractional coordinates, are Mg at (0.030, 0.347, 0.279), Mg at (0.113, 0.879, 0.323), Mg at (0.362, 0.156, 0.042), Si at (0.214, 0.482, 0.989), Si at (0.350, 0.997, 0.703), Si at (0.423, 0.689, 0.574) and Si at (0.437, 0.372, 0.695).

---

Sm12Ho3Tm | PBE | optimized geometry

For the total energy, the calculation gives -4.660 eV/atom. The value obtained for the formation energy is 0.27 eV per formula unit.

The space group is P4/mmm (No. 123) and the conventional cell measures 5.092, 5.092 and 20.327 Å, with angles of 90.00, 90.00 and 90.00 degrees. The distinct sites, in fractional coordinates, are Sm at (0.000, 0.000, 0.000), Sm at (0.000, 0.000, 0.249), Sm at (0.000, 0.000, 0.500), Sm at (0.000, 0.500, 0.124), Sm at (0.000, 0.500, 0.375), Ho at (0.500, 0.500, 0.249), Ho at (0.500, 0.500, 0.500) and Tm at (0.500, 0.500, 0.000).

---

HfTe6Au | PBE | optimized geometry

For the total energy, the calculation gives -4.131 eV/atom. The uncorrected formation energy is -0.12 eV/atom.

The space group is P-1 (No. 2) and the conventional cell measures 6.785, 6.791 and 6.799 Å, with angles of 63.28, 63.24 and 63.30 degrees. The distinct sites, in fractional coordinates, are Hf at (0.000, 0.000, 0.000), Te at (0.051, 0.739, 0.448), Te at (0.259, 0.552, 0.949), Te at (0.449, 0.050, 0.739) and Au at (0.500, 0.500, 0.500).

---

Mg5In3Cl12 | PBE | optimized geometry

For the total energy, the calculation gives -3.312 eV/atom. The uncorrected formation energy is -1.39 eV/atom.

The space group is Ia-3d (No. 230) and the conventional cell measures 16.529, 16.529 and 16.529 Å, with angles of 90.00, 90.00 and 90.00 degrees. The distinct sites, in fractional coordinates, are Mg at (0.000, 0.000, 0.000), Mg at (0.000, 0.250, 0.375), In at (0.000, 0.250, 0.125) and Cl at (0.036, 0.047, 0.644).

---

Sr2CeTcN4 | PBE | optimized geometry

For the total energy, the calculation gives -7.137 eV/atom. The uncorrected formation energy is -0.52 eV/atom.

The space group is Cmcm (No. 63) and the conventional cell measures 3.533, 11.812 and 12.828 Å, with angles of 90.00, 90.00 and 90.00 degrees. The distinct sites, in fractional coordinates, are Sr at (0.000, 0.134, 0.037), Ce at (0.000, 0.390, 0.250), Tc at (0.000, 0.339, 0.750), N at (0.000, 0.082, 0.250), N at (0.000, 0.221, 0.649) and N at (0.000, 0.500, 0.000).

---

| no. | total magnetization (μB/f.u.) |
| --- | --- |
| 1 | 0.001 |
| 2 | 0.002 |
| 3 | 0.000 |
| 4 | 0.000 |
| 5 | 0.000 |
| 6 | 0.000 |
| 7 | 0.000 |
| 8 | 0.599 |